The following is a PBE-GGA calculation of a geometry-optimized Cu2PPt structure, from Alexandria.

Results
**ΔE to the lowest computed polymorph**: 0.000 eV/atom
**Energy**: -20.0 eV per cell
**M_tot**: 0.0 μB/f.u.

Unit cell a=3.8071 b=2.8778 c=5.1814 alpha=73.86 beta=90.00 gamma=90.00
With the nearest neighbours (Å) after each atom.
Element x y z (fractional)
P1 0.0000 0.7018 0.4711  1 Cu 2.30, 2 Pt 2.35
Cu1 0.5000 0.3008 0.2738  4 P 2.58, 3 Pt 2.63-2.76, 6 Cu 2.73-2.88
Cu2 0.0000 0.9332 0.0088  1 P 2.30
Pt1 0.5000 0.5642 0.7463  2 P 2.35, 1 Cu 2.63

---

The following is a PBE-GGA calculation of a geometry-optimized YCo2Ni structure, from Alexandria.

Results
**Energy**: -25.9 eV per cell
**M_tot**: 2.9 μB/f.u.

Unit cell a=4.3818 b=4.3818 c=4.3818 alpha=60.00 beta=60.00 gamma=60.00
With the nearest neighbours (Å) after each atom.
Element x y z (fractional)
Y1 0.7500 0.7500 0.7500  4 Co 2.68, 4 Ni 2.68
Co1 0.2500 0.2500 0.2500  4 Co 2.68, 4 Ni 2.68
Co2 0.0000 0.0000 0.0000  4 Y 2.68, 4 Co 2.68
Ni1 0.5000 0.5000 0.5000  4 Co 2.68, 4 Y 2.68

---

The following is a PBE-GGA calculation of a geometry-optimized TmGeIr3 structure, from Alexandria.

Results
**Energy**: -76.1 eV per cell
**M_tot**: 0.0 μB/f.u.

Unit cell a=6.3398 b=6.3398 c=6.3398 alpha=107.39 beta=129.05 gamma=94.08
With the nearest neighbours (Å) after each atom.
Element x y z (fractional)
Tm1 0.9861 0.7361 0.7500  5 Ir 2.79-2.88
Tm2 0.0139 0.2639 0.2500  5 Ir 2.79-2.88
Ir1 0.5000 0.3002 0.3002  2 Ge 2.58, 4 Ir 2.68-2.73, 2 Tm 2.88
Ir2 0.0000 0.3002 0.8002  2 Ge 2.58, 4 Ir 2.68-2.73, 2 Tm 2.88
Ir3 0.3085 0.0585 0.7500  2 Ge 2.50, 4 Ir 2.68, 1 Tm 2.79
Ir4 0.5000 0.6998 0.6998  2 Ge 2.58, 4 Ir 2.68-2.73, 2 Tm 2.88
Ir5 0.6915 0.9415 0.2500  2 Ge 2.50, 4 Ir 2.68, 1 Tm 2.79
Ir6 0.0000 0.6998 0.1998  2 Ge 2.58, 4 Ir 2.68-2.73, 2 Tm 2.88
Ge1 0.5000 0.5000 0.0000  6 Ir 2.50-2.58
Ge2 0.5000 0.0000 0.5000  6 Ir 2.50-2.58

---

The following is a PBE-GGA calculation of a geometry-optimized PuTlSnCl6 structure, from Alexandria.

Results
**E_form (uncorrected)**: -1398 meV per atom
**Energy**: -88.7 eV per cell
**M_tot**: 5.0 μB/f.u.

Unit cell a=6.8732 b=6.8732 c=13.1949 alpha=90.00 beta=90.00 gamma=90.00
With the nearest neighbours (Å) after each atom.
Element x y z (fractional)
Cl1 0.8256 0.1744 0.4966  1 Pu 2.76, 1 Sn 2.80
Cl2 0.7036 0.7036 0.6879  1 Pu 2.74, 1 Sn 2.90
Cl3 0.7788 0.2212 0.8177  1 Pu 2.72, 1 Sn 2.94
Cl4 0.6744 0.6744 0.9966  1 Pu 2.76, 1 Sn 2.80
Cl5 0.2036 0.7964 0.1879  1 Pu 2.74, 1 Sn 2.90
Cl6 0.2212 0.7788 0.8177  1 Pu 2.72, 1 Sn 2.94
Cl7 0.2964 0.2964 0.6879  1 Pu 2.74, 1 Sn 2.90
Cl8 0.3256 0.3256 0.9966  1 Pu 2.76, 1 Sn 2.80
Cl9 0.7964 0.2036 0.1879  1 Pu 2.74, 1 Sn 2.90
Cl10 0.1744 0.8256 0.4966  1 Pu 2.76, 1 Sn 2.80
Cl11 0.7212 0.7212 0.3177  1 Pu 2.72, 1 Sn 2.94
Cl12 0.2788 0.2788 0.3177  1 Pu 2.72, 1 Sn 2.94
Pu1 0.5000 0.5000 0.8315  6 Cl 2.72-2.76
Pu2 0.0000 0.0000 0.3315  6 Cl 2.72-2.76
Sn1 0.5000 0.5000 0.1660  6 Cl 2.80-2.94
Sn2 0.0000 0.0000 0.6660  6 Cl 2.80-2.94
Tl1 0.5000 0.5000 0.4982  6 Cl 3.17-3.21
Tl2 0.0000 0.0000 0.9982  6 Cl 3.17-3.21

---

The following is a PBE-GGA calculation of a geometry-optimized Zr4SbAu structure, from Alexandria.

Results
**ΔE to the lowest computed polymorph**: 0.000 eV/atom
**E_form (uncorrected)**: -142 meV per atom
**Energy**: -84.9 eV per cell
**M_tot**: 0.0 μB/f.u.

Unit cell a=5.4915 b=6.9930 c=8.4014 alpha=100.60 beta=112.09 gamma=95.26
With the nearest neighbours (Å) after each atom.
Element x y z (fractional)
Zr1 0.2971 0.5894 0.8748  1 Au 2.86, 3 Sb 2.96-3.14, 4 Zr 2.98-3.18
Zr2 0.4756 0.9644 0.1609  1 Au 2.76, 3 Zr 2.94-3.09, 1 Sb 3.08
Zr3 0.9288 0.8462 0.6883  2 Au 2.74-2.78, 1 Zr 3.01, 1 Sb 3.04
Zr4 0.5244 0.0356 0.8391  1 Au 2.76, 3 Zr 2.94-3.09, 1 Sb 3.08
Zr5 0.0712 0.1538 0.3117  2 Au 2.74-2.78, 1 Zr 3.01, 1 Sb 3.04
Zr6 0.3561 0.5865 0.3266  2 Au 2.88-2.93, 1 Sb 3.16, 1 Zr 3.18
Zr7 0.7029 0.4106 0.1252  1 Au 2.86, 3 Sb 2.96-3.14, 4 Zr 2.98-3.18
Zr8 0.6439 0.4135 0.6734  2 Au 2.88-2.93, 1 Sb 3.16, 1 Zr 3.18
Sb1 0.1098 0.2414 0.9799  9 Zr 2.96-3.26
Sb2 0.8902 0.7586 0.0201  9 Zr 2.96-3.26
Au1 0.5000 0.0000 0.5000  6 Zr 2.74-2.88
Au2 0.0000 0.5000 0.5000  6 Zr 2.78-2.93

---

The following is a PBE-GGA calculation of a geometry-optimized TbYSc2 structure, from Alexandria.

Results
**ΔE to the lowest computed polymorph**: 0.054 eV/atom
**Energy**: -23.4 eV per cell
**M_tot**: 0.0 μB/f.u.

Unit cell a=5.4235 b=5.4235 c=5.4235 alpha=60.00 beta=60.00 gamma=60.00
With the nearest neighbours (Å) after each atom.
Element x y z (fractional)
Y1 0.5000 0.5000 0.5000  8 Sc 3.32
Sc1 0.7500 0.7500 0.7500  4 Y 3.32, 4 Tb 3.32
Sc2 0.2500 0.2500 0.2500  4 Tb 3.32, 4 Y 3.32
Tb1 0.0000 0.0000 0.0000  8 Sc 3.32

---

The following is a PBE-GGA calculation of a geometry-optimized Cs4Tl2Hg structure, from Alexandria.

Results
**ΔE to the lowest computed polymorph**: 0.073 eV/atom
**Energy**: -8.5 eV per cell
**M_tot**: 0.0 μB/f.u.

Unit cell a=7.5310 b=7.5310 c=10.6060 alpha=69.20 beta=69.20 gamma=90.00
With the nearest neighbours (Å) after each atom.
Element x y z (fractional)
Hg1 0.0000 0.0000 0.0000  6 Cs 3.77-3.84
Cs1 0.5000 0.0000 0.0000  2 Hg 3.77, 4 Tl 4.05
Cs2 0.7909 0.7909 0.4182  1 Hg 3.84, 1 Tl 3.85
Cs3 0.0000 0.5000 0.0000  2 Hg 3.77, 4 Tl 4.05
Cs4 0.2091 0.2091 0.5818  1 Hg 3.84, 1 Tl 3.85
Tl1 0.5811 0.5811 0.8378  1 Tl 2.98
Tl2 0.4189 0.4189 0.1622  1 Tl 2.98

---

The following is a PBE-GGA calculation of a geometry-optimized TiAsI3 structure, from Alexandria.

Results
**ΔE to the lowest computed polymorph**: 0.591 eV/atom
**E_form (uncorrected)**: 711 meV per atom
**Energy**: -13.6 eV per cell
**M_tot**: 0.4 μB/f.u.

Unit cell a=5.6881 b=5.6881 c=5.6881 alpha=90.00 beta=90.00 gamma=90.00
With the nearest neighbours (Å) after each atom.
Element x y z (fractional)
As1 0.0000 0.0000 0.0000  6 I 2.84
I1 0.5000 0.0000 0.0000  2 As 2.84
I2 0.0000 0.0000 0.5000  2 As 2.84
I3 0.0000 0.5000 0.0000  2 As 2.84
Ti1 0.5000 0.5000 0.5000  12 I 4.02

---

The following is a PBE-GGA calculation of a geometry-optimized TbSiB structure, from Alexandria.

Results
**ΔE to the lowest computed polymorph**: 0.196 eV/atom
**E_form (uncorrected)**: -469 meV per atom
**Energy**: -36.3 eV per cell
**M_tot**: 0.0 μB/f.u.

Unit cell a=3.5385 b=6.8322 c=9.5204 alpha=142.56 beta=133.58 gamma=60.68
With the nearest neighbours (Å) after each atom.
Element x y z (fractional)
Tb1 0.1739 0.8974 0.0338  4 B 2.57-2.86
Tb2 0.5388 0.7534 0.3995  4 B 2.57-2.86
Si1 0.5727 0.2795 0.9053  3 B 2.10-2.16
Si2 0.1399 0.3713 0.5279  3 B 2.10-2.16
B1 0.8620 0.2135 0.5732  1 B 1.81
B2 0.8506 0.4373 0.8601  1 B 1.81

---

The following is a PBE-GGA calculation of a geometry-optimized Be3Re2B structure, from Alexandria.

Results
**Energy**: -44.0 eV per cell
**M_tot**: 0.0 μB/f.u.

Unit cell a=4.3184 b=4.3184 c=4.3358 alpha=89.90 beta=119.92 gamma=120.06
With the nearest neighbours (Å) after each atom.
Element x y z (fractional)
Be1 0.5000 0.5000 0.5000  4 Be 2.16, 2 B 2.17
Be2 0.0000 0.0000 0.5000  4 Be 2.16, 2 B 2.17
Be3 0.5000 0.0000 0.5000  4 Be 2.16, 2 B 2.17
Re1 0.2496 0.6249 0.8745  3 B 2.53, 9 Be 2.53-2.55, 4 Re 2.65-2.66
Re2 0.7504 0.3751 0.1255  3 B 2.53, 9 Be 2.53-2.55, 4 Re 2.65-2.66
B1 0.0000 0.0000 0.0000  6 Be 2.17

---

The following is a PBE-GGA calculation of a geometry-optimized Ga3Pd structure, from Alexandria.

Results
**ΔE to the lowest computed polymorph**: 0.107 eV/atom
**Energy**: -15.2 eV per cell
**M_tot**: 0.0 μB/f.u.

Unit cell a=2.8863 b=2.9746 c=8.1748 alpha=90.00 beta=90.00 gamma=90.00
With the nearest neighbours (Å) after each atom.
Element x y z (fractional)
Ga1 0.0000 0.5000 0.4628  10 Ga 2.74-2.97
Ga2 0.5000 0.0000 0.7135  2 Pd 2.61, 6 Ga 2.89-2.91
Ga3 0.5000 0.5000 0.1775  4 Pd 2.63, 4 Ga 2.74-2.89
Pd1 0.0000 0.0000 0.9795  6 Ga 2.61-2.63, 2 Pd 2.89

---

The following is a PBE-GGA calculation of a geometry-optimized LiGePb2N structure, from Alexandria.

Results
**E_form (uncorrected)**: 1293 meV per atom
**Energy**: -15.8 eV per cell
**M_tot**: 0.0 μB/f.u.

Unit cell a=5.6995 b=4.9590 c=5.6995 alpha=90.00 beta=90.00 gamma=90.00
With the nearest neighbours (Å) after each atom.
Element x y z (fractional)
N1 0.5000 0.5000 0.5000  8 Pb 3.78, 4 Li 4.03
Pb1 0.0000 0.0000 0.5000  2 Ge 2.85
Pb2 0.5000 0.0000 0.0000  2 Ge 2.85
Li1 0.0000 0.5000 0.0000  2 Ge 2.48
Ge1 0.0000 0.0000 0.0000  2 Li 2.48